The following is a GGA-PBE calculation of a relaxed structure of Cu2TeIr, from Alexandria via LeMat-Bulk.

Computed properties:
Its uncorrected energy is -0.33414 Ry/atom. As for the total moment: 0.634 Bohr magnetons per cell. As for the calculated density: 11.21 g cm⁻³. The calculation puts the uncorrected formation energy at 0.50 eV per atom.

a b c (Å): 8.634 8.634 8.634
angles (deg): 20.05 20.05 20.05
Atoms (fractional coordinates):
Cu: 0.244 0.244 0.244
Cu: 0.756 0.756 0.756
Te: 0.000 0.000 0.000
Ir: 0.500 0.500 0.500

***

The following is a GGA-PBE calculation of a relaxed structure of Cu2TeIr, from Alexandria via LeMat-Bulk.

Computed properties:
Its uncorrected energy is -0.33527 Ry/atom. As for the total moment: 0.000 Bohr magnetons per cell. As for the calculated density: 10.93 g cm⁻³. The calculation puts the uncorrected formation energy at 0.49 eV per atom.

a b c (Å): 5.731 5.731 5.731
angles (deg): 101.96 101.96 125.84
Atoms (fractional coordinates):
Cu: 0.117 0.625 0.992
Cu: 0.375 0.367 0.492
Cu: 0.633 0.125 0.008
Cu: 0.875 0.883 0.508
Te: 0.250 0.750 0.500
Te: 0.500 0.500 0.000
Ir: 0.000 0.000 0.000
Ir: 0.750 0.250 0.500

***

The following is a GGA-PBE calculation of a relaxed structure of CuTe2Ir, from Alexandria via LeMat-Bulk.

Computed properties:
Its energy above the most stable polymorph in this dataset is 77.7 kJ per mole of atoms. Its uncorrected energy is -0.29681 Ry/atom. As for the total moment: 0.000 Bohr magnetons per cell. As for the calculated density: 10.58 g cm⁻³. The calculation puts the uncorrected formation energy at 0.77 eV per atom.

a b c (Å): 4.840 4.840 4.840
angles (deg): 60.00 60.00 60.00
Atoms (fractional coordinates):
Cu: 0.000 0.000 0.000
Te: 0.500 0.500 0.500
Te: 0.750 0.750 0.750
Ir: 0.250 0.250 0.250

***

The following is a GGA-PBE calculation of a relaxed structure of CuTe2Ir, from Alexandria via LeMat-Bulk.

Computed properties:
Its energy above the most stable polymorph in this dataset is 20.9 kJ per mole of atoms. Its uncorrected energy is -0.34006 Ry/atom. As for the total moment: 0.000 Bohr magnetons per cell. As for the calculated density: 9.42 g cm⁻³. The calculation puts the uncorrected formation energy at 0.18 eV per atom.

a b c (Å): 7.194 7.194 7.194
angles (deg): 151.47 149.49 42.26
Atoms (fractional coordinates):
Cu: 0.000 0.000 0.000
Te: 0.536 0.536 0.000
Te: 0.785 0.285 0.500
Ir: 0.369 0.869 0.500